(1)
# RbZr2TiTc

An optimized crystal structure of RbZr2TiTc (PBE-GGA, Alexandria).

a = 5.221 Å, b = 5.221 Å, c = 4.954 Å
α = 90.00°, β = 90.00°, γ = 90.00°
Sites, in units of the cell vectors:
Rb1 0.000 0.000 0.000
Zr1 0.000 0.500 0.500
Zr2 0.500 0.000 0.500
Ti1 0.500 0.500 0.000
Tc1 0.500 0.500 0.500

Properties
energy of formation from the pure elements = 3.523 eV per formula unit
spin magnetization = 1.16 μB/cell


(2)
# CaSm5Zn6

An optimized crystal structure of CaSm5Zn6 (PBE-GGA, Alexandria).

a = 8.146 Å, b = 8.146 Å, c = 7.294 Å
α = 90.00°, β = 90.00°, γ = 143.11°
Sites, in units of the cell vectors:
Ca1 0.000 0.000 0.000
Sm1 0.000 0.000 0.500
Sm2 0.333 0.667 0.500
Sm3 0.336 0.664 0.000
Sm4 0.664 0.336 0.000
Sm5 0.667 0.333 0.500
Zn1 0.169 0.831 0.251
Zn2 0.169 0.831 0.749
Zn3 0.500 0.500 0.254
Zn4 0.500 0.500 0.746
Zn5 0.831 0.169 0.251
Zn6 0.831 0.169 0.749

Properties
energy of formation from the pure elements = -3.669 eV per formula unit
spin magnetization = 0.06 μB/cell


(3)
# TaAlIr

An optimized crystal structure of TaAlIr (PBE-GGA, Alexandria).

a = 2.879 Å, b = 2.879 Å, c = 6.671 Å
α = 90.00°, β = 90.00°, γ = 120.00°
Sites, in units of the cell vectors:
Ta1 0.000 0.000 0.000
Al1 0.667 0.333 0.355
Ir1 0.333 0.667 0.668

Properties
energy of formation from the pure elements = -0.976 eV per formula unit
spin magnetization = 0.00 μB/cell


(4)
# TiSF3

An optimized crystal structure of TiSF3 (PBE-GGA, Alexandria).

a = 4.331 Å, b = 4.331 Å, c = 4.331 Å
α = 90.00°, β = 90.00°, γ = 90.00°
Sites, in units of the cell vectors:
Ti1 0.000 0.000 0.000
S1 0.500 0.500 0.500
F1 0.000 0.500 0.500
F2 0.500 0.000 0.500
F3 0.500 0.500 0.000

Properties
spin magnetization = 2.30 μB/cell
formation energy from raw total energies = -0.378 eV per atom
energy above the lowest structure with this stoichiometry = 7.46 eV per formula unit


(5)
# CaCd2Ir

An optimized crystal structure of CaCd2Ir (PBE-GGA, Alexandria).

a = 5.174 Å, b = 5.174 Å, c = 5.174 Å
α = 128.61°, β = 128.61°, γ = 75.64°
Sites, in units of the cell vectors:
Ca1 0.000 0.000 0.000
Cd1 0.500 0.500 0.000
Cd2 0.750 0.250 0.500
Ir1 0.250 0.750 0.500

Properties
energy of formation from the pure elements = -0.273 eV per formula unit
spin magnetization = 0.00 μB/cell


(6)
# LiReSe2

An optimized crystal structure of LiReSe2 (PBE-GGA, Alexandria).

a = 7.004 Å, b = 7.004 Å, c = 7.004 Å
α = 153.45°, β = 152.88°, γ = 38.32°
Sites, in units of the cell vectors:
Li1 0.000 0.000 0.000
Re1 0.263 0.763 0.500
Se1 0.406 0.406 0.000
Se2 0.667 0.167 0.500

Properties
spin magnetization = 0.00 μB/cell
formation energy from raw total energies = -0.214 eV per atom
energy above the lowest structure with this stoichiometry = 0.11 eV per formula unit


(7)
# HoZn10Pd2

An optimized crystal structure of HoZn10Pd2 (PBE-GGA, Alexandria).

a = 8.775 Å, b = 6.813 Å, c = 6.738 Å
α = 80.72°, β = 50.02°, γ = 49.27°
Sites, in units of the cell vectors:
Ho1 0.000 0.000 0.000
Zn1 0.000 0.000 0.500
Zn2 0.004 0.350 0.650
Zn3 0.285 0.501 0.499
Zn4 0.350 0.004 0.996
Zn5 0.499 0.715 0.285
Zn6 0.500 0.500 0.000
Zn7 0.501 0.285 0.715
Zn8 0.650 0.996 0.004
Zn9 0.715 0.499 0.501
Zn10 0.996 0.650 0.350
Pd1 0.000 0.500 0.000
Pd2 0.500 0.000 0.500

Properties
energy of formation from the pure elements = -3.772 eV per formula unit
spin magnetization = 0.00 μB/cell


(8)
# SeINF2

An optimized crystal structure of SeINF2 (PBE-GGA, Alexandria).

a = 4.787 Å, b = 4.787 Å, c = 4.022 Å
α = 90.00°, β = 90.00°, γ = 90.00°
Sites, in units of the cell vectors:
Se1 0.000 0.000 0.000
I1 0.500 0.500 0.500
N1 0.500 0.500 0.000
F1 0.000 0.500 0.500
F2 0.500 0.000 0.500

Properties
spin magnetization = 2.50 μB/cell
formation energy from raw total energies = 0.545 eV per atom
energy above the lowest structure with this stoichiometry = 1.25 eV per formula unit


(9)
# Zn2SiI

An optimized crystal structure of Zn2SiI (PBE-GGA, Alexandria).

a = 7.353 Å, b = 7.353 Å, c = 7.353 Å
α = 130.61°, β = 130.61°, γ = 72.44°
Sites, in units of the cell vectors:
Zn1 0.054 0.625 0.929
Zn2 0.375 0.304 0.429
Zn3 0.696 0.125 0.071
Zn4 0.875 0.946 0.571
Si1 0.000 0.000 0.000
Si2 0.750 0.250 0.500
I1 0.250 0.750 0.500
I2 0.500 0.500 0.000

Properties
spin magnetization = 0.00 μB/cell
formation energy from raw total energies = 0.133 eV per atom
energy above the lowest structure with this stoichiometry = 0.00 eV per formula unit


(10)
# Mg8Tl2Pd3

An optimized crystal structure of Mg8Tl2Pd3 (PBE-GGA, Alexandria).

a = 8.057 Å, b = 4.653 Å, c = 8.090 Å
α = 90.00°, β = 109.31°, γ = 90.00°
Sites, in units of the cell vectors:
Mg1 0.110 0.000 0.390
Mg2 0.134 0.500 0.860
Mg3 0.359 0.500 0.634
Mg4 0.384 0.000 0.114
Mg5 0.616 0.000 0.886
Mg6 0.641 0.500 0.366
Mg7 0.866 0.500 0.140
Mg8 0.890 0.000 0.610
Tl1 0.250 0.500 0.251
Tl2 0.750 0.500 0.749
Pd1 0.255 0.000 0.754
Pd2 0.500 0.500 0.000
Pd3 0.745 0.000 0.246

Properties
energy of formation from the pure elements = -3.954 eV per formula unit
spin magnetization = 0.00 μB/cell


(11)
# TbPmScPd

An optimized crystal structure of TbPmScPd (PBE-GGA, Alexandria).

a = 5.220 Å, b = 5.220 Å, c = 5.220 Å
α = 60.00°, β = 60.00°, γ = 60.00°
Sites, in units of the cell vectors:
Tb1 0.000 0.000 0.000
Pm1 0.500 0.500 0.500
Sc1 0.750 0.750 0.750
Pd1 0.250 0.250 0.250

Properties
energy of formation from the pure elements = -0.594 eV per formula unit
spin magnetization = 0.00 μB/cell


(12)
# K2CdInH

An optimized crystal structure of K2CdInH (PBE-GGA, Alexandria).

a = 5.324 Å, b = 5.324 Å, c = 5.090 Å
α = 90.00°, β = 90.00°, γ = 90.00°
Sites, in units of the cell vectors:
K1 0.000 0.500 0.000
K2 0.500 0.000 0.000
Cd1 0.000 0.000 0.500
In1 0.500 0.500 0.500
H1 0.500 0.500 0.000

Properties
spin magnetization = 0.00 μB/cell
E = -1.795 eV/atom


(13)
# PaBOs2Ru

An optimized crystal structure of PaBOs2Ru (PBE-GGA, Alexandria).

a = 4.221 Å, b = 4.221 Å, c = 4.226 Å
α = 90.00°, β = 90.00°, γ = 90.00°
Sites, in units of the cell vectors:
Pa1 0.000 0.000 0.000
B1 0.500 0.500 0.500
Os1 0.000 0.500 0.500
Os2 0.500 0.000 0.500
Ru1 0.500 0.500 0.000

Properties
energy of formation from the pure elements = -2.317 eV per formula unit
spin magnetization = 0.00 μB/cell


(14)
# Tl2CuSnCl5

An optimized crystal structure of Tl2CuSnCl5 (PBE-GGA, Alexandria).

a = 9.422 Å, b = 9.422 Å, c = 13.897 Å
α = 90.00°, β = 90.00°, γ = 154.47°
Sites, in units of the cell vectors:
Tl1 0.101 0.899 0.500
Tl2 0.128 0.872 0.161
Tl3 0.872 0.128 0.661
Tl4 0.899 0.101 0.000
Cu1 0.461 0.539 0.244
Cu2 0.539 0.461 0.744
Sn1 0.186 0.814 0.862
Sn2 0.814 0.186 0.362
Cl1 0.012 0.988 0.815
Cl2 0.289 0.711 0.501
Cl3 0.327 0.673 0.219
Cl4 0.327 0.673 0.834
Cl5 0.492 0.508 0.588
Cl6 0.508 0.492 0.088
Cl7 0.673 0.327 0.334
Cl8 0.673 0.327 0.719
Cl9 0.711 0.289 0.001
Cl10 0.988 0.012 0.315

Properties
spin magnetization = 0.08 μB/cell
formation energy from raw total energies = -0.882 eV per atom


(15)
# Y4Ga3Au

An optimized crystal structure of Y4Ga3Au (PBE-GGA, Alexandria).

a = 4.108 Å, b = 4.252 Å, c = 11.094 Å
α = 90.00°, β = 90.00°, γ = 90.00°
Sites, in units of the cell vectors:
Y1 0.000 0.000 0.000
Y2 0.000 0.500 0.281
Y3 0.500 0.000 0.497
Y4 0.500 0.500 0.782
Ga1 0.000 0.000 0.714
Ga2 0.000 0.500 0.566
Ga3 0.500 0.500 0.055
Au1 0.500 0.000 0.221

Properties
energy of formation from the pure elements = -5.555 eV per formula unit
spin magnetization = 0.00 μB/cell


(16)
# Re2SiGe

An optimized crystal structure of Re2SiGe (PBE-GGA, Alexandria).

a = 4.294 Å, b = 4.294 Å, c = 4.294 Å
α = 60.00°, β = 60.00°, γ = 60.00°
Sites, in units of the cell vectors:
Re1 0.250 0.250 0.250
Re2 0.750 0.750 0.750
Si1 0.000 0.000 0.000
Ge1 0.500 0.500 0.500

Properties
spin magnetization = 0.00 μB/cell
formation energy from raw total energies = 0.083 eV per atom
energy above the lowest structure with this stoichiometry = 0.00 eV per formula unit


(17)
# KAgBiO4

An optimized crystal structure of KAgBiO4 (PBE-GGA, Alexandria).

a = 7.247 Å, b = 7.247 Å, c = 7.247 Å
α = 125.75°, β = 124.04°, γ = 81.72°
Sites, in units of the cell vectors:
K1 0.347 0.097 0.250
K2 0.653 0.903 0.750
Ag1 0.000 0.500 0.500
Ag2 0.500 0.500 0.000
Bi1 0.000 0.000 0.500
Bi2 0.000 0.500 0.000
O1 0.196 0.239 0.958
O2 0.197 0.244 0.547
O3 0.197 0.649 0.953
O4 0.219 0.761 0.458
O5 0.781 0.239 0.542
O6 0.803 0.351 0.047
O7 0.803 0.756 0.453
O8 0.804 0.761 0.042

Properties
spin magnetization = 0.72 μB/cell
formation energy from raw total energies = -0.785 eV per atom


(18)
# CsKNbCo2

An optimized crystal structure of CsKNbCo2 (PBE-GGA, Alexandria).

a = 4.709 Å, b = 4.709 Å, c = 5.456 Å
α = 90.00°, β = 90.00°, γ = 90.00°
Sites, in units of the cell vectors:
Cs1 0.000 0.000 0.000
K1 0.000 0.000 0.500
Nb1 0.500 0.500 0.000
Co1 0.000 0.500 0.500
Co2 0.500 0.000 0.500

Properties
energy of formation from the pure elements = 13.863 eV per formula unit
spin magnetization = 0.00 μB/cell


(19)
# ThZn3Ga3

An optimized crystal structure of ThZn3Ga3 (PBE-GGA, Alexandria).

a = 7.318 Å, b = 4.325 Å, c = 8.955 Å
α = 90.00°, β = 111.75°, γ = 90.00°
Sites, in units of the cell vectors:
Th1 0.151 0.250 0.248
Th2 0.849 0.750 0.752
Zn1 0.214 0.250 0.882
Zn2 0.451 0.750 0.849
Zn3 0.457 0.250 0.685
Zn4 0.543 0.750 0.315
Zn5 0.549 0.250 0.151
Zn6 0.786 0.750 0.118
Ga1 0.044 0.250 0.580
Ga2 0.252 0.750 0.043
Ga3 0.363 0.750 0.517
Ga4 0.637 0.250 0.483
Ga5 0.748 0.250 0.957
Ga6 0.956 0.750 0.420

Properties
energy of formation from the pure elements = -1.819 eV per formula unit
spin magnetization = 0.00 μB/cell


(20)
# Ac3In2Ga3

An optimized crystal structure of Ac3In2Ga3 (PBE-GGA, Alexandria).

a = 6.531 Å, b = 6.531 Å, c = 15.967 Å
α = 90.00°, β = 90.00°, γ = 137.46°
Sites, in units of the cell vectors:
Ac1 0.069 0.931 0.613
Ac2 0.069 0.931 0.887
Ac3 0.357 0.643 0.750
Ac4 0.643 0.357 0.250
Ac5 0.931 0.069 0.113
Ac6 0.931 0.069 0.387
In1 0.225 0.775 0.095
In2 0.225 0.775 0.405
In3 0.775 0.225 0.595
In4 0.775 0.225 0.905
Ga1 0.360 0.640 0.250
Ga2 0.387 0.613 0.540
Ga3 0.387 0.613 0.960
Ga4 0.613 0.387 0.040
Ga5 0.613 0.387 0.460
Ga6 0.640 0.360 0.750

Properties
energy of formation from the pure elements = -4.018 eV per formula unit
spin magnetization = 0.00 μB/cell


(21)
# Pm6Tc2Ag

An optimized crystal structure of Pm6Tc2Ag (PBE-GGA, Alexandria).

a = 8.691 Å, b = 8.691 Å, c = 8.691 Å
α = 111.00°, β = 110.75°, γ = 106.70°
Sites, in units of the cell vectors:
Pm1 0.023 0.814 0.209
Pm2 0.223 0.515 0.291
Pm3 0.223 0.932 0.709
Pm4 0.287 0.310 0.597
Pm5 0.287 0.690 0.976
Pm6 0.395 0.186 0.209
Pm7 0.605 0.814 0.791
Pm8 0.713 0.310 0.024
Pm9 0.713 0.690 0.403
Pm10 0.777 0.068 0.291
Pm11 0.777 0.485 0.709
Pm12 0.977 0.186 0.791
Tc1 0.000 0.123 0.123
Tc2 0.000 0.877 0.877
Tc3 0.385 0.385 0.000
Tc4 0.615 0.615 0.000
Ag1 0.000 0.500 0.500
Ag2 0.500 0.000 0.500

Properties
energy of formation from the pure elements = -0.374 eV per formula unit
spin magnetization = 0.00 μB/cell


(22)
# Ce2Ge3Rh2

An optimized crystal structure of Ce2Ge3Rh2 (PBE-GGA, Alexandria).

a = 9.478 Å, b = 9.478 Å, c = 7.046 Å
α = 90.00°, β = 90.00°, γ = 154.41°
Sites, in units of the cell vectors:
Ce1 0.054 0.946 0.750
Ce2 0.161 0.839 0.250
Ce3 0.839 0.161 0.750
Ce4 0.946 0.054 0.250
Ge1 0.219 0.781 0.750
Ge2 0.437 0.563 0.565
Ge3 0.437 0.563 0.935
Ge4 0.563 0.437 0.065
Ge5 0.563 0.437 0.435
Ge6 0.781 0.219 0.250
Rh1 0.305 0.695 0.045
Rh2 0.305 0.695 0.455
Rh3 0.695 0.305 0.545
Rh4 0.695 0.305 0.955

Properties
energy of formation from the pure elements = -5.936 eV per formula unit
spin magnetization = 1.20 μB/cell
energy above the lowest structure with this stoichiometry = 0.00 eV per formula unit


(23)
# Pr3Zn2In

An optimized crystal structure of Pr3Zn2In (PBE-GGA, Alexandria).

a = 3.719 Å, b = 3.719 Å, c = 11.727 Å
α = 90.00°, β = 90.00°, γ = 90.00°
Sites, in units of the cell vectors:
Pr1 0.000 0.000 0.000
Pr2 0.000 0.000 0.316
Pr3 0.000 0.000 0.684
Zn1 0.500 0.500 0.155
Zn2 0.500 0.500 0.845
In1 0.500 0.500 0.500

Properties
energy of formation from the pure elements = -2.155 eV per formula unit
spin magnetization = 0.00 μB/cell